(1)
Crystalline VPt2Au2 at its relaxed geometry. Source: Alexandria via LeMat-Bulk, functional GGA-PBE.

a b c (Å): 3.6912 3.6912 7.3395
angles (deg): 75.44 75.44 90.00
Closest atoms and distances in Å follow each position.
Fractional positions:
Pt: 0.2500 0.7500 0.5000  4 Pt 2.61, 4 Au 2.80
Pt: 0.7500 0.2500 0.5000  4 Pt 2.61, 4 Au 2.80
Au: 0.4037 0.4037 0.1925  1 Au 2.64, 4 Pt 2.80, 4 V 2.93
Au: 0.5963 0.5963 0.8075  1 Au 2.64, 4 Pt 2.80, 4 V 2.93
V: 0.0000 0.0000 0.0000  8 Au 2.93

Calculated total energy: -5.24 eV per atom
Energy of formation: 0.313 eV/atom
Energy relative to the lowest polymorph listed for this composition: 61.4 meV/atom
Calculated volume: 18.693 A^3/atom

(2)
Crystalline Ni3W at its relaxed geometry. Source: Alexandria via LeMat-Bulk, functional GGA-PBE.

a b c (Å): 2.6469 8.4309 2.6469
angles (deg): 99.03 60.00 99.03
Closest atoms and distances in Å follow each position.
Fractional positions:
Ni: 0.5031 0.5093 0.5031  9 Ni 2.51-2.65, 3 W 2.64
Ni: 0.2500 0.7500 0.2500  12 Ni 2.51-2.65
Ni: 0.9969 0.9907 0.9969  9 Ni 2.51-2.65, 3 W 2.64
W: 0.7500 0.2500 0.7500  6 Ni 2.64, 6 W 2.65

Calculated total energy: -7.41 eV per atom
Energy of formation: 0.167 eV/atom
Calculated volume: 12.576 A^3/atom

(3)
Crystalline Dy5Sn2Bi2 at its relaxed geometry. Source: Alexandria via LeMat-Bulk, functional GGA-PBE.

a b c (Å): 8.2388 8.2132 8.8221
angles (deg): 117.74 90.00 90.00
Closest atoms and distances in Å follow each position.
Fractional positions:
Bi: 0.5000 0.7044 0.4088  7 Dy 3.19-3.29
Bi: 0.5000 0.2956 0.5912  7 Dy 3.19-3.29
Bi: 0.0000 0.2044 0.4088  7 Dy 3.19-3.29
Bi: 0.0000 0.7956 0.5912  7 Dy 3.19-3.29
Dy: 0.6635 0.0334 0.7375  3 Sn 3.09-3.23, 3 Bi 3.20-3.29
Dy: 0.1635 0.4666 0.2625  3 Sn 3.09-3.23, 3 Bi 3.20-3.29
Dy: 0.1635 0.2041 0.7375  3 Sn 3.09-3.23, 3 Bi 3.20-3.29
Dy: 0.5000 0.5000 0.0000  4 Sn 3.18-3.20, 2 Bi 3.19
Dy: 0.3365 0.9666 0.2625  3 Sn 3.09-3.23, 3 Bi 3.20-3.29
Dy: 0.0000 0.0000 0.0000  4 Sn 3.18-3.20, 2 Bi 3.19
Dy: 0.8365 0.7959 0.2625  3 Sn 3.09-3.23, 3 Bi 3.20-3.29
Dy: 0.3365 0.7041 0.7375  3 Sn 3.09-3.23, 3 Bi 3.20-3.29
Dy: 0.6635 0.2959 0.2625  3 Sn 3.09-3.23, 3 Bi 3.20-3.29
Dy: 0.8365 0.5334 0.7375  3 Sn 3.09-3.23, 3 Bi 3.20-3.29
Sn: 0.3632 0.1373 0.0000  8 Dy 3.09-3.23, 1 Sn 3.19
Sn: 0.8632 0.3627 0.0000  8 Dy 3.09-3.23, 1 Sn 3.19
Sn: 0.6368 0.8627 0.0000  8 Dy 3.09-3.23, 1 Sn 3.19
Sn: 0.1368 0.6373 0.0000  8 Dy 3.09-3.23, 1 Sn 3.19

Calculated total energy: -5.10 eV per atom
Energy of formation: -0.795 eV/atom
Calculated volume: 29.352 A^3/atom

(4)
Crystalline HfCdAs2Se at its relaxed geometry. Source: Alexandria via LeMat-Bulk, functional GGA-PBE.

a b c (Å): 4.9923 4.9923 5.0989
angles (deg): 90.00 90.00 90.00
Closest atoms and distances in Å follow each position.
Fractional positions:
Cd: 0.0000 0.0000 0.0000  4 As 2.50, 2 Se 2.55
As: 0.0000 0.5000 0.0000  2 Cd 2.50
As: 0.5000 0.0000 0.0000  2 Cd 2.50
Hf: 0.5000 0.5000 0.5000  4 Se 3.53, 8 As 3.57
Se: 0.0000 0.0000 0.5000  2 Cd 2.55

Calculated total energy: -3.88 eV per atom
Energy relative to the lowest polymorph listed for this composition: 840.0 meV/atom
Formation energy from raw total energies: 0.85 eV/atom
Calculated volume: 25.416 A^3/atom